1.
Compound: LaTbCeSe3
Source: Alexandria via LeMat-Bulk
Functional: PBE-GGA
Structure: optimized geometry

Lattice parameters (Å, degrees): 4.1357 8.1590 10.5157 103.56 90.00 90.00
Last column: magnetic moment on the atom in μB.
Fractional coordinates of all 12 atoms:
Se: 0.7500 0.2072 0.4275  -0.01
Se: 0.2500 0.5325 0.8150  0.00
Se: 0.2500 0.7928 0.5725  -0.01
Se: 0.7500 0.4675 0.1850  0.00
Se: 0.7500 0.9052 0.1093  0.00
Se: 0.2500 0.0948 0.8907  0.00
Tb: 0.2500 0.6617 0.0975  0.21
Tb: 0.7500 0.3383 0.9025  0.21
Ce: 0.2500 0.1738 0.6180  1.15
Ce: 0.7500 0.8262 0.3820  1.15
La: 0.2500 0.1850 0.2033  0.03
La: 0.7500 0.8150 0.7967  0.03

Results
**Spin magnetization**: 2.028 μB/f.u.
**E_form (uncorrected)**: -1.663 eV/atom
**Space-group type**: P2_1/m

2.
Compound: Dy5CdNi
Source: Alexandria via LeMat-Bulk
Functional: PBE-GGA
Structure: optimized geometry

Lattice parameters (Å, degrees): 6.3877 6.3877 11.3363 72.77 72.77 64.42
Fractional coordinates of all 14 atoms:
Cd: 0.5333 0.4667 0.7500
Cd: 0.4667 0.5333 0.2500
Dy: 0.0474 0.4033 0.8638
Dy: 0.4033 0.0474 0.3638
Dy: 0.4533 0.7979 0.9511
Dy: 0.9988 0.0012 0.7500
Dy: 0.9526 0.5967 0.1362
Dy: 0.7979 0.4533 0.4511
Dy: 0.5967 0.9526 0.6362
Dy: 0.5467 0.2021 0.0489
Dy: 0.0012 0.9988 0.2500
Dy: 0.2021 0.5467 0.5489
Ni: 0.0000 0.0000 0.5000
Ni: 0.0000 0.0000 0.0000

Results
**Spin magnetization**: 0.000 μB/f.u.
**Space-group type**: C2/c
**DFT formation energy**: -67 meV per atom

3.
Compound: Sm4InHg
Source: Alexandria via LeMat-Bulk
Functional: PBE-GGA
Structure: optimized geometry

Lattice parameters (Å, degrees): 5.7575 10.7344 5.7673 90.00 102.40 90.00
Fractional coordinates of all 12 atoms:
Sm: 0.9999 0.8492 0.4999
Sm: 0.4999 0.6507 0.4999
Sm: 0.5001 0.3493 0.5001
Sm: 0.4999 0.8458 0.9999
Sm: 0.0001 0.1508 0.5001
Sm: 0.0001 0.3458 0.0001
Sm: 0.9999 0.6542 0.9999
Sm: 0.5001 0.1542 0.0001
Hg: 0.5000 0.0000 0.5000
Hg: 0.0000 0.5000 0.5000
In: 0.0000 0.0000 0.0000
In: 0.5000 0.5000 0.0000

Results
**Spin magnetization**: 0.000 μB/f.u.
**Space-group type**: C2/m
**DFT formation energy**: -251 meV per atom

4.
Compound: GdHg2Bi
Source: Alexandria via LeMat-Bulk
Functional: PBE-GGA
Structure: optimized geometry

Lattice parameters (Å, degrees): 5.3545 5.3545 5.3545 60.00 60.00 60.00
Last column: magnetic moment on the atom in μB.
Fractional coordinates of all 4 atoms:
Hg: 0.2500 0.2500 0.2500  0.00
Hg: 0.7500 0.7500 0.7500  0.00
Bi: 0.5000 0.5000 0.5000  -0.02
Gd: 0.0000 0.0000 0.0000  6.91

Results
**Spin magnetization**: 7.004 μB/f.u.
**Space-group type**: Fm-3m
**DFT formation energy**: -337 meV per atom

| no. | D(E_F) (states/eV per cell) | DFT total energy (Ha/atom) |
| --- | --- | --- |
| 1 | 15.36 | -0.2200 |
| 2 | 15.72 | -0.1584 |
| 3 | 15.21 | -0.1435 |
| 4 | 3.32 | -0.1830 |